Entry from Alexandria: a geometry-optimized Sm6GeP2Se3 structure (PBE).

Output
raw total energy: -6.180 eV/atom
E_form (uncorrected): -1.663 eV/atom

```
Sm6GeP2Se3
1.0
9.125 -2.080 0.000
9.125 2.080 0.000
-2.026 0.000 8.130
Sm Ge P Se
6 1 2 3
direct
0.004 0.004 0.245
0.329 0.329 0.427
0.336 0.336 0.906
0.664 0.664 0.094
0.671 0.671 0.573
0.996 0.996 0.755
0.500 0.500 0.000
0.167 0.167 0.335
0.833 0.833 0.665
0.167 0.167 0.832
0.500 0.500 0.500
0.833 0.833 0.168
```


Entry from Alexandria: a geometry-optimized Sm8GeP3Se4 structure (PBE).

Output
raw total energy: -6.230 eV/atom
E_form (uncorrected): -1.697 eV/atom

```
Sm8GeP3Se4
1.0
4.148 2.395 6.870
-4.148 2.395 6.870
0.000 -4.790 6.870
Sm Ge P Se
8 1 3 4
direct
0.242 0.746 0.746
0.243 0.243 0.243
0.254 0.254 0.758
0.254 0.758 0.254
0.746 0.242 0.746
0.746 0.746 0.242
0.757 0.757 0.757
0.758 0.254 0.254
0.500 0.500 0.500
0.000 0.000 0.500
0.000 0.500 0.000
0.500 0.000 0.000
0.000 0.000 0.000
0.000 0.500 0.500
0.500 0.000 0.500
0.500 0.500 0.000
```


Entry from Alexandria: a geometry-optimized Sm6Ge3P2Se structure (PBE).

Output
raw total energy: -5.917 eV/atom
E_form (uncorrected): -1.212 eV/atom

```
Sm6Ge3P2Se
1.0
9.240 -2.045 0.000
9.240 2.045 0.000
-2.367 0.000 8.227
Sm Ge P Se
6 3 2 1
direct
0.004 0.004 0.253
0.330 0.330 0.426
0.333 0.333 0.906
0.667 0.667 0.094
0.670 0.670 0.574
0.996 0.996 0.747
0.165 0.165 0.833
0.500 0.500 0.500
0.835 0.835 0.167
0.166 0.166 0.332
0.834 0.834 0.668
0.500 0.500 0.000
```


Entry from Alexandria: a geometry-optimized Sm6Ge2PSe3 structure (PBE).

Output
raw total energy: -5.990 eV/atom
E_form (uncorrected): -1.539 eV/atom

```
Sm6Ge2PSe3
1.0
9.167 -2.097 0.000
9.167 2.097 0.000
-1.979 0.000 8.187
Sm Ge P Se
6 2 1 3
direct
0.003 0.003 0.239
0.332 0.332 0.423
0.337 0.337 0.912
0.663 0.663 0.088
0.668 0.668 0.577
0.997 0.997 0.761
0.166 0.166 0.332
0.834 0.834 0.668
0.500 0.500 0.000
0.166 0.166 0.834
0.500 0.500 0.500
0.834 0.834 0.166
```


Entry from Alexandria: a geometry-optimized SrGe2PSe structure (PBE).

Output
raw total energy: -3.742 eV/atom
distance to the lowest polymorph of the same formula: 0 meV per atom
E_form (uncorrected): 0.220 eV/atom

```
SrGe2PSe
1.0
5.160 0.000 0.000
0.000 5.160 0.000
0.000 0.000 5.089
Sr Ge P Se
1 2 1 1
direct
0.000 0.000 0.000
0.000 0.500 0.500
0.500 0.000 0.500
0.500 0.500 0.000
0.500 0.500 0.500
```


Entry from Alexandria: a geometry-optimized SrGe2PSe structure (PBE).

Output
raw total energy: -2.640 eV/atom
distance to the lowest polymorph of the same formula: 1102 meV per atom
E_form (uncorrected): 1.322 eV/atom

```
SrGe2PSe
1.0
5.879 0.000 0.000
0.000 5.879 0.000
0.000 0.000 5.305
Sr Ge P Se
1 2 1 1
direct
0.000 0.000 0.000
0.000 0.500 0.000
0.500 0.000 0.000
0.000 0.000 0.500
0.500 0.500 0.500
```


- Which of these has the lowest raw total energy?
  Sm8GeP3Se4


- Among the records above, which one has the highest E_form (uncorrected)?
  number 6


- What is the raw total energy in the first record?
  -6.180 eV/atom


- Which of these has the highest E_form (uncorrected)?
  number 6